Compound: AcTmGe4
Source: Alexandria
Functional: PBE
Structure: relaxed

a b c (Å): 5.7950 5.7950 5.7950
angles (deg): 60.00 60.00 60.00
Last column: nearest neighbours and their distance in Å.
Fractional positions:
Ac 0.0000 0.0000 0.0000  12 Ge 3.41, 4 Tm 3.55
Tm 0.2500 0.2500 0.2500  12 Ge 3.39, 4 Ac 3.55
Ge 0.1385 0.6205 0.6205  6 Ge 2.79-3.00
Ge 0.6205 0.1385 0.6205  6 Ge 2.79-3.00
Ge 0.6205 0.6205 0.1385  6 Ge 2.79-3.00
Ge 0.6205 0.6205 0.6205  6 Ge 2.79-3.00

Values from the calculation:
Formation energy from the elements (eV/atom): -0.2825


Compound: AcGdSi2
Source: Alexandria
Functional: PBE
Structure: relaxed

a b c (Å): 6.3773 6.3773 6.3773
angles (deg): 43.48 43.48 43.48
Last column: nearest neighbours and their distance in Å.
Fractional positions:
Ac 0.0000 0.0000 0.0000  6 Si 3.26
Gd 0.5000 0.5000 0.5000  6 Si 2.94
Si 0.2304 0.2304 0.2304  3 Gd 2.94, 3 Ac 3.26
Si 0.7696 0.7696 0.7696  3 Gd 2.94, 3 Ac 3.26

Values from the calculation:
Formation energy from raw total energies (eV/atom): -0.40


Compound: LiAl2CrH
Source: Alexandria
Functional: PBE
Structure: relaxed

a b c (Å): 4.3129 4.3129 3.2962
angles (deg): 90.00 90.00 90.00
Last column: nearest neighbours and their distance in Å.
Fractional positions:
Li 0.0000 0.0000 0.0000  8 Al 2.71
Al 0.0000 0.5000 0.5000  2 H 2.16
Al 0.5000 0.0000 0.5000  2 H 2.16
Cr 0.5000 0.5000 0.0000  2 H 1.65
H 0.5000 0.5000 0.5000  2 Cr 1.65

Values from the calculation:
Calculated total energy (eV per atom): -4.3873


Compound: Co2ReTe
Source: Alexandria
Functional: PBE
Structure: relaxed

a b c (Å): 4.4389 4.4389 4.7184
angles (deg): 100.27 100.27 39.33
Last column: nearest neighbours and their distance in Å.
Fractional positions:
Co 0.0000 0.0000 0.0000  2 Re 2.50, 3 Te 2.53-2.66, 3 Co 2.54-2.60
Co 0.7466 0.7466 0.2239  3 Re 2.52-2.53, 3 Co 2.54-2.60, 2 Te 2.64
Re 0.4846 0.4846 0.4192  5 Co 2.50-2.53, 1 Te 2.79
Te 0.2470 0.2470 0.7619  5 Co 2.53-2.66, 1 Re 2.79

Values from the calculation:
Formation energy from raw total energies (eV/atom): 0.46


Compound: PBr3O
Source: Alexandria
Functional: PBE
Structure: relaxed

a b c (Å): 5.0146 5.0146 5.0146
angles (deg): 90.00 90.00 90.00
Last column: nearest neighbours and their distance in Å.
Fractional positions:
P 0.0000 0.0000 0.0000  6 Br 2.51
Br 0.0000 0.0000 0.5000  2 P 2.51
Br 0.0000 0.5000 0.0000  2 P 2.51
Br 0.5000 0.0000 0.0000  2 P 2.51
O 0.5000 0.5000 0.5000  12 Br 3.55

Values from the calculation:
Formation energy from raw total energies (eV/atom): 0.80
Offset from the most stable computed form (meV per atom): 1573


Compound: Tb3Nd5Te12
Source: Alexandria
Functional: PBE
Structure: relaxed

a b c (Å): 15.9677 15.9677 15.9677
angles (deg): 109.47 109.47 109.47
Last column: nearest neighbours and their distance in Å.
Fractional positions:
Tb 0.1250 0.2500 0.3750  8 Te 3.26-3.54
Tb 0.1250 0.3750 0.7500  8 Te 3.26-3.54
Tb 0.2500 0.3750 0.1250  8 Te 3.26-3.54
Tb 0.2500 0.8750 0.6250  8 Te 3.26-3.54
Tb 0.3750 0.1250 0.2500  8 Te 3.26-3.54
Tb 0.3750 0.7500 0.1250  8 Te 3.26-3.54
Tb 0.6250 0.2500 0.8750  8 Te 3.26-3.54
Tb 0.6250 0.8750 0.7500  8 Te 3.26-3.54
Tb 0.7500 0.1250 0.3750  8 Te 3.26-3.54
Tb 0.7500 0.6250 0.8750  8 Te 3.26-3.54
Tb 0.8750 0.6250 0.2500  8 Te 3.26-3.54
Tb 0.8750 0.7500 0.6250  8 Te 3.26-3.54
Nd 0.0000 0.0000 0.0000  6 Te 3.17
Nd 0.0000 0.0000 0.5000  6 Te 3.17
Nd 0.0000 0.5000 0.0000  6 Te 3.17
Nd 0.0000 0.5000 0.5000  6 Te 3.17
Nd 0.1250 0.7500 0.8750  4 Te 2.98
Nd 0.1250 0.8750 0.2500  4 Te 2.98
Nd 0.2500 0.1250 0.8750  4 Te 2.98
Nd 0.2500 0.6250 0.3750  4 Te 2.98
Nd 0.3750 0.2500 0.6250  4 Te 2.98
Nd 0.3750 0.6250 0.7500  4 Te 2.98
Nd 0.5000 0.0000 0.0000  6 Te 3.17
Nd 0.5000 0.0000 0.5000  6 Te 3.17
Nd 0.5000 0.5000 0.0000  6 Te 3.17
Nd 0.5000 0.5000 0.5000  6 Te 3.17
Nd 0.6250 0.3750 0.2500  4 Te 2.98
Nd 0.6250 0.7500 0.3750  4 Te 2.98
Nd 0.7500 0.3750 0.6250  4 Te 2.98
Nd 0.7500 0.8750 0.1250  4 Te 2.98
Nd 0.8750 0.1250 0.7500  4 Te 2.98
Nd 0.8750 0.2500 0.1250  4 Te 2.98
Te 0.0552 0.2291 0.1307  2 Nd 2.98-3.17, 1 Tb 3.26
Te 0.0552 0.3260 0.9245  2 Nd 2.98-3.17, 1 Tb 3.26
Te 0.0755 0.6307 0.4016  2 Nd 2.98-3.17, 1 Tb 3.26
Te 0.0755 0.9448 0.6740  2 Nd 2.98-3.17, 1 Tb 3.26
Te 0.0984 0.7291 0.6740  2 Nd 2.98-3.17, 1 Tb 3.26
Te 0.0984 0.8693 0.4245  2 Nd 2.98-3.17, 1 Tb 3.26
Te 0.1307 0.0552 0.2291  2 Nd 2.98-3.17, 1 Tb 3.26
Te 0.1307 0.5755 0.9016  2 Nd 2.98-3.17, 1 Tb 3.26
Te 0.1740 0.2291 0.5984  2 Nd 2.98-3.17, 1 Tb 3.26
Te 0.1740 0.4448 0.5755  2 Nd 2.98-3.17, 1 Tb 3.26
Te 0.2291 0.1307 0.0552  2 Nd 2.98-3.17, 1 Tb 3.26
Te 0.2291 0.5984 0.1740  2 Nd 2.98-3.17, 1 Tb 3.26
Te 0.2709 0.3260 0.9016  2 Nd 2.98-3.17, 1 Tb 3.26
Te 0.2709 0.4448 0.3693  2 Nd 2.98-3.17, 1 Tb 3.26
Te 0.3260 0.9016 0.2709  2 Nd 2.98-3.17, 1 Tb 3.26
Te 0.3260 0.9245 0.0552  2 Nd 2.98-3.17, 1 Tb 3.26
Te 0.3693 0.2709 0.4448  2 Nd 2.98-3.17, 1 Tb 3.26
Te 0.3693 0.5984 0.9245  2 Nd 2.98-3.17, 1 Tb 3.26
Te 0.4016 0.0755 0.6307  2 Nd 2.98-3.17, 1 Tb 3.26
Te 0.4016 0.8260 0.7709  2 Nd 2.98-3.17, 1 Tb 3.26
Te 0.4245 0.0984 0.8693  2 Nd 2.98-3.17, 1 Tb 3.26
Te 0.4245 0.8260 0.5552  2 Nd 2.98-3.17, 1 Tb 3.26
Te 0.4448 0.3693 0.2709  2 Nd 2.98-3.17, 1 Tb 3.26
Te 0.4448 0.5755 0.1740  2 Nd 2.98-3.17, 1 Tb 3.26
Te 0.5552 0.4245 0.8260  2 Nd 2.98-3.17, 1 Tb 3.26
Te 0.5552 0.6307 0.7291  2 Nd 2.98-3.17, 1 Tb 3.26
Te 0.5755 0.1740 0.4448  2 Nd 2.98-3.17, 1 Tb 3.26
Te 0.5755 0.9016 0.1307  2 Nd 2.98-3.17, 1 Tb 3.26
Te 0.5984 0.1740 0.2291  2 Nd 2.98-3.17, 1 Tb 3.26
Te 0.5984 0.9245 0.3693  2 Nd 2.98-3.17, 1 Tb 3.26
Te 0.6307 0.4016 0.0755  2 Nd 2.98-3.17, 1 Tb 3.26
Te 0.6307 0.7291 0.5552  2 Nd 2.98-3.17, 1 Tb 3.26
Te 0.6740 0.0755 0.9448  2 Nd 2.98-3.17, 1 Tb 3.26
Te 0.6740 0.0984 0.7291  2 Nd 2.98-3.17, 1 Tb 3.26
Te 0.7291 0.5552 0.6307  2 Nd 2.98-3.17, 1 Tb 3.26
Te 0.7291 0.6740 0.0984  2 Nd 2.98-3.17, 1 Tb 3.26
Te 0.7709 0.4016 0.8260  2 Nd 2.98-3.17, 1 Tb 3.26
Te 0.7709 0.8693 0.9448  2 Nd 2.98-3.17, 1 Tb 3.26
Te 0.8260 0.5552 0.4245  2 Nd 2.98-3.17, 1 Tb 3.26
Te 0.8260 0.7709 0.4016  2 Nd 2.98-3.17, 1 Tb 3.26
Te 0.8693 0.4245 0.0984  2 Nd 2.98-3.17, 1 Tb 3.26
Te 0.8693 0.9448 0.7709  2 Nd 2.98-3.17, 1 Tb 3.26
Te 0.9016 0.1307 0.5755  2 Nd 2.98-3.17, 1 Tb 3.26
Te 0.9016 0.2709 0.3260  2 Nd 2.98-3.17, 1 Tb 3.26
Te 0.9245 0.0552 0.3260  2 Nd 2.98-3.17, 1 Tb 3.26
Te 0.9245 0.3693 0.5984  2 Nd 2.98-3.17, 1 Tb 3.26
Te 0.9448 0.6740 0.0755  2 Nd 2.98-3.17, 1 Tb 3.26
Te 0.9448 0.7709 0.8693  2 Nd 2.98-3.17, 1 Tb 3.26

Values from the calculation:
Formation energy from raw total energies (eV/atom): -1.13


Compound: YFeCo3
Source: Alexandria
Functional: PBE
Structure: relaxed

a b c (Å): 4.3522 4.3522 4.3522
angles (deg): 90.00 90.00 90.00
Last column: nearest neighbours and their distance in Å.
Fractional positions:
Y 0.0000 0.0000 0.0000  12 Co 3.08
Fe 0.5000 0.5000 0.5000  6 Co 2.18
Co 0.0000 0.5000 0.5000  2 Fe 2.18
Co 0.5000 0.0000 0.5000  2 Fe 2.18
Co 0.5000 0.5000 0.0000  2 Fe 2.18

Values from the calculation:
Formation energy from the elements (eV/atom): 0.4226
Offset from the most stable computed form (meV per atom): 367


Compound: Pa2SnO
Source: Alexandria
Functional: PBE
Structure: relaxed

a b c (Å): 3.1577 3.1577 7.9454
angles (deg): 90.00 90.00 90.00
Last column: nearest neighbours and their distance in Å.
Fractional positions:
Pa 0.0000 0.0000 0.1958  4 O 2.72
Pa 0.0000 0.0000 0.8042  4 O 2.72
Sn 0.5000 0.5000 0.5000  4 Sn 3.16, 8 Pa 3.29
O 0.5000 0.5000 0.0000  8 Pa 2.72

Values from the calculation:
Formation energy from raw total energies (eV/atom): -0.76
Offset from the most stable computed form (meV per atom): 502


Compound: TaCdSe2
Source: Alexandria
Functional: PBE
Structure: relaxed

a b c (Å): 3.4568 5.9414 9.7881
angles (deg): 84.89 80.35 89.97
Last column: nearest neighbours and their distance in Å.
Fractional positions:
Ta 0.0000 0.0000 0.0000  6 Se 2.61
Ta 0.5000 0.4991 0.0001  6 Se 2.61
Cd 0.0599 0.7538 0.4998  2 Cd 2.99, 2 Se 3.18-3.19
Cd 0.9542 0.2537 0.5006  2 Cd 2.99, 2 Se 3.19-3.20
Se 0.0840 0.6909 0.8243  3 Ta 2.61
Se 0.4169 0.8082 0.1758  3 Ta 2.61
Se 0.5833 0.1910 0.8239  3 Ta 2.61
Se 0.9159 0.3082 0.1761  3 Ta 2.61

Values from the calculation:
Formation energy from raw total energies (eV/atom): -0.54